PBE Ta2CrRu, relaxed; energy of formation from the pure elements = 753 meV/atom; SG = I-42d, No. 122; magnetization = 2.69 μB/f.u.; density of states at the Fermi level = 12.3 states/eV per cell
1.0
3.9346 0.0000 0.0000
0.0000 3.9346 0.0000
1.9673 1.9673 9.0874
Ru Cr Ta
2 2 4
Cartesian
0.0000 0.0000 0.0000
3.9346 1.9673 4.5437
1.9673 1.9673 0.0000
1.9673 3.9346 4.5437
2.9426 0.9837 2.2719
0.9920 2.9510 2.2719
2.9510 2.9593 6.8156
4.9183 4.9099 6.8156